# Rb2LiI6Cl

A relaxed structure of Rb2LiI6Cl (PBE, the Alexandria database).

Cell lengths 8.497, 8.497, 12.007 Å; angles 90.00, 90.00, 90.00 degrees
Space group I4/mmm (No. 139)
Inequivalent atoms, fractional coordinates:
Rb1 0.000 0.500 0.250 x4
Li1 0.000 0.000 0.000 x2
I1 0.000 0.000 0.277 x4
I2 0.225 0.225 0.000 x8
Cl1 0.000 0.000 0.500 x2

Output
E = -2.1270 eV per atom
formation energy from raw total energies = -627 meV per atom
calculated density = 3.735 g cm⁻³
total magnetization = 0.000 Bohr magnetons per cell